Entry from Alexandria via LeMat-Bulk: a geometry-optimized Sr3Cd structure (PBE-GGA).

a b c (Å): 5.3382 5.6632 5.6576
angles (deg): 90.00 90.00 90.00
Closest atoms and distances in Å follow each position.
Atoms (fractional coordinates):
1 Sr 0.0000 0.0000 0.0000  8 Sr 3.89-4.00, 4 Cd 3.89
2 Sr 0.0000 0.5000 0.4997  4 Cd 3.88-3.90, 8 Sr 3.89-4.00
3 Sr 0.5000 0.0000 0.5002  8 Sr 3.89, 4 Cd 4.00-4.01
4 Cd 0.5000 0.5000 0.0013  12 Sr 3.88-4.01

Summary:
- Energy relative to the lowest polymorph listed for this composition: 117 meV per atom
- SG: Pmm2

=====

Entry from Alexandria via LeMat-Bulk: a geometry-optimized Sr4Cd structure (PBE-GGA).

a b c (Å): 8.7244 8.7244 10.7740
angles (deg): 127.52 127.52 58.98
Closest atoms and distances in Å follow each position.
Atoms (fractional coordinates):
1 Sr 0.0389 0.5562 0.2446  1 Cd 3.31
2 Sr 0.0407 0.0407 0.2333  2 Cd 3.46
3 Sr 0.4254 0.4254 0.6688  2 Cd 3.29
4 Sr 0.4438 0.9611 0.7554  1 Cd 3.31
5 Sr 0.5562 0.0389 0.2446  1 Cd 3.31
6 Sr 0.5746 0.5746 0.3312  2 Cd 3.29
7 Sr 0.9593 0.9593 0.7667  2 Cd 3.46
8 Sr 0.9611 0.4438 0.7554  1 Cd 3.31
9 Cd 0.3175 0.6825 0.0000  1 Cd 3.13, 6 Sr 3.29-3.46
10 Cd 0.6825 0.3175 0.0000  1 Cd 3.13, 6 Sr 3.29-3.46

Summary:
- Energy relative to the lowest polymorph listed for this composition: 86 meV per atom
- SG: C2/m

=====

Entry from Alexandria via LeMat-Bulk: a geometry-optimized SrCd5 structure (PBE-GGA).

a b c (Å): 5.1635 5.1635 7.0768
angles (deg): 96.36 96.36 57.77
Closest atoms and distances in Å follow each position.
Atoms (fractional coordinates):
1 Sr 0.0000 0.0000 0.0000  14 Cd 3.48-3.63
2 Cd 0.0006 0.0006 0.5000  6 Cd 3.05-3.14
3 Cd 0.3124 0.3124 0.7238  5 Cd 2.95-3.27
4 Cd 0.3615 0.3615 0.2736  6 Cd 2.95-3.27
5 Cd 0.6387 0.6387 0.7260  6 Cd 2.95-3.27
6 Cd 0.6882 0.6882 0.2762  5 Cd 2.95-3.27

Summary:
- SG: Cm

=====

Entry from Alexandria via LeMat-Bulk: a geometry-optimized Sr3Cd structure (PBE-GGA).

a b c (Å): 7.5995 7.5995 7.5995
angles (deg): 147.67 60.35 130.52
Closest atoms and distances in Å follow each position.
Atoms (fractional coordinates):
1 Sr 0.0000 0.0000 0.0000  4 Cd 3.81-3.83, 6 Sr 4.15-4.23
2 Sr 0.2959 0.4993 0.7966  2 Cd 3.41
3 Sr 0.7027 0.4993 0.2034  2 Cd 3.41
4 Cd 0.5020 0.0020 0.5000  6 Sr 3.41-3.81

Summary:
- Energy relative to the lowest polymorph listed for this composition: 48 meV per atom
- SG: Imm2

=====

| no. | energy relative to the elements (eV/atom) | total magnetic moment (μB/cell) |
| --- | --- | --- |
| 1 | -0.052 | 0.003 |
| 2 | -0.047 | 0.001 |
| 3 | -0.194 | 0.000 |
| 4 | -0.121 | 0.002 |